PBE-GGA BeOs2Rh, relaxed; total DFT energy (no corrections) = -8.40 eV per atom; magnetic moment = 0.00 μB/cell; space-group type = No. 44
1.0
2.815 0.000 0.000
0.000 4.312 0.000
0.000 0.000 8.348
Be Os Rh
2 4 2
Cartesian
0.000 0.000 0.000
1.408 2.156 4.174
0.000 0.000 4.170
0.000 2.156 6.048
1.408 0.000 1.874
1.408 2.156 8.345
0.000 2.156 2.379
1.408 0.000 6.553